Material: KPm3Se4O12
Method: DFT, PBE
State: relaxed

a b c (Å): 7.787 7.787 7.787
angles (deg): 106.91 106.91 106.91
Element x y z (fractional)
1 K 0.000 0.000 0.000
2 Pm 0.000 0.565 0.435
3 Pm 0.435 0.000 0.565
4 Pm 0.565 0.435 0.000
5 Se 0.065 0.500 0.935
6 Se 0.500 0.500 0.500
7 Se 0.500 0.935 0.065
8 Se 0.935 0.065 0.500
9 O 0.079 0.626 0.786
10 O 0.117 0.883 0.500
11 O 0.214 0.374 0.921
12 O 0.348 0.652 0.500
13 O 0.374 0.921 0.214
14 O 0.500 0.117 0.883
15 O 0.500 0.348 0.652
16 O 0.626 0.786 0.079
17 O 0.652 0.500 0.348
18 O 0.786 0.079 0.626
19 O 0.883 0.500 0.117
20 O 0.921 0.214 0.374

Properties
DFT total energy ... -0.221 Ha/atom



Material: KPmSeO5
Method: DFT, PBE
State: relaxed

a b c (Å): 6.386 6.386 8.176
angles (deg): 105.38 105.38 104.89
Element x y z (fractional)
1 K 0.173 0.827 0.750
2 K 0.827 0.173 0.250
3 Pm 0.500 0.500 0.000
4 Pm 0.500 0.500 0.500
5 Se 0.180 0.820 0.250
6 Se 0.820 0.180 0.750
7 O 0.086 0.249 0.899
8 O 0.187 0.637 0.364
9 O 0.249 0.086 0.399
10 O 0.363 0.813 0.136
11 O 0.420 0.580 0.750
12 O 0.580 0.420 0.250
13 O 0.637 0.187 0.864
14 O 0.751 0.914 0.601
15 O 0.813 0.363 0.636
16 O 0.914 0.751 0.101

Properties
DFT total energy ... -0.222 Ha/atom



Material: KPm2SiO5
Method: DFT, PBE
State: relaxed

a b c (Å): 6.829 6.829 5.459
angles (deg): 90.00 90.00 90.00
Element x y z (fractional)
1 K 0.000 0.000 0.000
2 K 0.500 0.500 0.000
3 Pm 0.179 0.321 0.500
4 Pm 0.321 0.821 0.500
5 Pm 0.679 0.179 0.500
6 Pm 0.821 0.679 0.500
7 Si 0.000 0.500 0.000
8 Si 0.500 0.000 0.000
9 O 0.000 0.000 0.500
10 O 0.125 0.625 0.232
11 O 0.125 0.625 0.768
12 O 0.375 0.125 0.232
13 O 0.375 0.125 0.768
14 O 0.500 0.500 0.500
15 O 0.625 0.875 0.232
16 O 0.625 0.875 0.768
17 O 0.875 0.375 0.232
18 O 0.875 0.375 0.768

Properties
DFT total energy ... -0.261 Ha/atom



Material: K4Pm3SiO8
Method: DFT, PBE
State: relaxed

a b c (Å): 7.448 7.448 7.448
angles (deg): 55.09 55.09 55.09
Element x y z (fractional)
1 K 0.000 0.000 0.000
2 K 0.000 0.500 0.500
3 K 0.500 0.000 0.500
4 K 0.500 0.500 0.000
5 Pm 0.000 0.000 0.500
6 Pm 0.000 0.500 0.000
7 Pm 0.500 0.000 0.000
8 Si 0.500 0.500 0.500
9 O 0.234 0.234 0.234
10 O 0.284 0.691 0.691
11 O 0.309 0.309 0.716
12 O 0.309 0.716 0.309
13 O 0.691 0.284 0.691
14 O 0.691 0.691 0.284
15 O 0.716 0.309 0.309
16 O 0.766 0.766 0.766

Properties
DFT total energy ... -0.231 Ha/atom